! PBE with a Hubbard U Ba2Co2RhO6, relaxed; values from VASP
! - Calculated total energy: -0.225 Ha/atom
! - Space group: R-3m (166)
! - Calculated volume: 14.91 Å³/atom
! - Total moment: 7.0 μB per cell
&SYSTEM
  ibrav = 0, nat = 11, ntyp = 4
/
ATOMIC_SPECIES
Ba 137.33 Ba.upf
Co 58.93 Co.upf
Rh 102.91 Rh.upf
O 16.00 O.upf
CELL_PARAMETERS angstrom
2.958 1.708 5.414
-2.958 1.708 5.414
0.000 -3.415 5.414
ATOMIC_POSITIONS angstrom
Ba 0.000 0.000 3.608
Ba 0.000 0.000 12.634
Co 0.000 0.000 6.800
Co 0.000 0.000 9.441
Rh 0.000 0.000 0.000
O -1.555 -0.898 9.527
O 0.000 -1.796 6.715
O -1.555 0.898 6.715
O 1.555 -0.898 9.527
O 0.000 1.796 9.527
O 1.555 0.898 6.715